Entry A
Computed, not measured: a relaxed Hf4Sn2Sb crystal at the PBE-GGA level of DFT.

Summary:
Its crystal system is monoclinic.

Lattice parameters (Å, degrees): 3.3626 7.3866 7.5508 115.68 102.87 90.00
Element x y z (fractional)
Hf 0.3674 0.5989 0.7348
Hf 0.0793 0.7038 0.1586
Hf 0.9207 0.2962 0.8414
Hf 0.6326 0.4011 0.2652
Sn 0.2268 0.1662 0.4537
Sn 0.7732 0.8338 0.5463
Sb 0.0000 0.0000 0.0000


Entry B
Computed, not measured: a relaxed Hf4Sn2Sb crystal at the PBE-GGA level of DFT.

Summary:
Its crystal system is tetragonal.

Lattice parameters (Å, degrees): 5.0778 5.0778 8.3918 72.39 72.39 90.00
Element x y z (fractional)
Hf 0.5000 0.0000 0.0000
Hf 0.8213 0.8213 0.3574
Hf 0.1787 0.1787 0.6426
Hf 0.0000 0.5000 0.0000
Sn 0.3684 0.3684 0.2633
Sn 0.6316 0.6316 0.7367
Sb 0.0000 0.0000 0.0000


Energies relative to the most stable structure, in meV per atom: entry A 0; entry B 690.


Entry A
Computed, not measured: a relaxed Hf4SnSb crystal at the PBE-GGA level of DFT.

Summary:
Its crystal system is triclinic.

Lattice parameters (Å, degrees): 5.5527 7.2247 8.5935 102.03 115.99 96.11
Element x y z (fractional)
Sb 0.5000 0.0000 0.5000
Sb 0.0000 0.5000 0.5000
Sn 0.0940 0.2420 0.9551
Sn 0.9060 0.7580 0.0449
Hf 0.7076 0.4035 0.1064
Hf 0.0785 0.1710 0.2906
Hf 0.5217 0.0019 0.8384
Hf 0.6289 0.4302 0.6858
Hf 0.9215 0.8290 0.7094
Hf 0.2924 0.5965 0.8936
Hf 0.3711 0.5698 0.3142
Hf 0.4783 0.9981 0.1616


Entry B
Computed, not measured: a relaxed Hf4SnSb crystal at the PBE-GGA level of DFT.

Summary:
Its crystal system is monoclinic.

Lattice parameters (Å, degrees): 3.0958 4.9534 9.6640 85.43 80.78 71.79
Element x y z (fractional)
Hf 0.3518 0.4603 0.8361
Hf 0.6482 0.5397 0.1639
Hf 0.1487 0.0367 0.6659
Hf 0.8513 0.9633 0.3341
Sb 0.0000 0.0000 0.0000
Sn 0.5000 0.5000 0.5000


Energies relative to the most stable structure, in meV per atom: entry A 0; entry B 60.